# KHgBi2 | the Alexandria database | GGA-PBE | relaxed
data_KHgBi2
_space_group_name_H-M_alt 'R -3 m'
_space_group_IT_number 166
_space_group_name_Hall '-R 3 2"'
_cell_length_a 5.5792
_cell_length_b 5.5792
_cell_length_c 18.7176
_cell_angle_alpha 90.00
_cell_angle_beta 90.00
_cell_angle_gamma 120.00
loop_
_atom_site_label
_atom_site_type_symbol
_atom_site_fract_x
_atom_site_fract_y
_atom_site_fract_z
_atom_site_occupancy
K1 K 0.0000 0.0000 0.0000 1
Hg1 Hg 0.0000 0.0000 0.5000 1
Bi1 Bi 0.0000 0.0000 0.1903 1
# - Formation enthalpy at 0 K: -87 meV/atom
# - E_tot: -2.38 eV/atom
# - Volume: 42.05 Å³ per atom
# - Crystal system: trigonal
# - Magnetic moment: 0.00 Bohr magnetons per cell

# Dy4GaRh | the Alexandria database | GGA-PBE | relaxed
data_Dy4GaRh
_space_group_name_H-M_alt 'F -4 3 m'
_space_group_IT_number 216
_space_group_name_Hall 'F -4 2 3'
_cell_length_a 13.4165
_cell_length_b 13.4165
_cell_length_c 13.4165
_cell_angle_alpha 90.00
_cell_angle_beta 90.00
_cell_angle_gamma 90.00
loop_
_atom_site_label
_atom_site_type_symbol
_atom_site_fract_x
_atom_site_fract_y
_atom_site_fract_z
_atom_site_occupancy
Dy1 Dy 0.0000 0.0000 0.1873 1
Dy2 Dy 0.0570 0.2500 0.2500 1
Dy3 Dy 0.1047 0.1047 0.6047 1
Ga1 Ga 0.1680 0.1680 0.8320 1
Rh1 Rh 0.1065 0.1065 0.3935 1
# - Formation enthalpy at 0 K: -561 meV/atom
# - E_tot: -5.36 eV/atom
# - Volume: 25.16 Å³ per atom
# - Crystal system: cubic
# - Magnetic moment: 0.00 Bohr magnetons per cell

# TlC | the Alexandria database | GGA-PBE | relaxed
data_TlC
_space_group_name_H-M_alt 'P m -3 n'
_space_group_IT_number 223
_space_group_name_Hall '-P 4n 2 3'
_cell_length_a 6.5518
_cell_length_b 6.5518
_cell_length_c 6.5518
_cell_angle_alpha 90.00
_cell_angle_beta 90.00
_cell_angle_gamma 90.00
loop_
_atom_site_label
_atom_site_type_symbol
_atom_site_fract_x
_atom_site_fract_y
_atom_site_fract_z
_atom_site_occupancy
Tl1 Tl 0.0000 0.2500 0.5000 1
C1 C 0.0000 0.5000 0.2500 1
# - Formation enthalpy at 0 K: 2066 meV/atom
# - E_tot: -3.73 eV/atom
# - Volume: 23.44 Å³ per atom
# - Crystal system: cubic
# - Magnetic moment: 0.00 Bohr magnetons per cell